1.
## LaPmHo14 (PBE)

Data for an optimized crystal structure of LaPmHo14.

a b c (Å): 11.477 7.119 7.119
angles (deg): 60.18 90.00 90.00
Element x y z (fractional)
La 0.000 0.000 0.000
Pm 0.000 0.501 0.501
Ho 0.000 0.001 0.500
Ho 0.000 0.500 0.001
Ho 0.251 0.668 0.668
Ho 0.253 0.168 0.168
Ho 0.255 0.168 0.667
Ho 0.255 0.667 0.168
Ho 0.500 0.334 0.334
Ho 0.500 0.335 0.834
Ho 0.500 0.834 0.335
Ho 0.500 0.834 0.834
Ho 0.745 0.168 0.667
Ho 0.745 0.667 0.168
Ho 0.747 0.168 0.168
Ho 0.749 0.668 0.668

Values from the calculation:
Its symmetry is No. 38. For the calculated formation energy, the calculation gives 0.01 eV/atom.

***

2.
## La4Pm3Ho (PBE)

Data for an optimized crystal structure of La4Pm3Ho.

a b c (Å): 11.047 11.047 5.194
angles (deg): 103.54 103.54 27.29
Element x y z (fractional)
La 0.122 0.122 0.122
La 0.250 0.250 0.750
La 0.750 0.750 0.250
La 0.878 0.878 0.878
Pm 0.377 0.377 0.377
Pm 0.500 0.500 0.000
Pm 0.623 0.623 0.623
Ho 0.000 0.000 0.500

Values from the calculation:
Its symmetry is No. 12. For the calculated formation energy, the calculation gives 0.02 eV/atom. The calculation puts the distance to the lowest polymorph of the same formula at 0 meV/atom.

***

3.
## La12PmHo7 (PBE)

Data for an optimized crystal structure of La12PmHo7.

a b c (Å): 8.991 8.991 8.991
angles (deg): 98.96 98.96 98.96
Element x y z (fractional)
La 0.000 0.261 0.739
La 0.000 0.739 0.261
La 0.145 0.145 0.412
La 0.145 0.412 0.145
La 0.261 0.000 0.739
La 0.261 0.739 0.000
La 0.412 0.145 0.145
La 0.588 0.855 0.855
La 0.739 0.000 0.261
La 0.739 0.261 0.000
La 0.855 0.588 0.855
La 0.855 0.855 0.588
Pm 0.500 0.500 0.500
Ho 0.000 0.000 0.000
Ho 0.165 0.594 0.594
Ho 0.406 0.406 0.835
Ho 0.406 0.835 0.406
Ho 0.594 0.165 0.594
Ho 0.594 0.594 0.165
Ho 0.835 0.406 0.406

Values from the calculation:
Its symmetry is No. 166. For the calculated formation energy, the calculation gives 0.09 eV/atom. The calculation puts the distance to the lowest polymorph of the same formula at 0 meV/atom.